[1]
DFT (GGA-PBE) results for a relaxed structure of Mo2AuN.

final energy	-8.224	eV per atom
SG	P6_3/mmc

Lattice parameters (Å, degrees): 3.0272 3.0272 14.1072 90.00 90.00 120.00
Last column: nearest neighbours and their distance in Å.
Atoms (fractional coordinates):
N1 0.0000 0.0000 0.5000  6 Mo 2.11
Mo1 0.6667 0.3333 0.9168  3 N 2.11
Mo2 0.3333 0.6667 0.0832  3 N 2.11
Au1 0.3333 0.6667 0.7500  6 Mo 2.93, 6 Au 3.03
Mo3 0.6667 0.3333 0.5832  3 N 2.11
Mo4 0.3333 0.6667 0.4168  3 N 2.11
Au2 0.6667 0.3333 0.2500  6 Mo 2.93, 6 Au 3.03
N2 0.0000 0.0000 0.0000  6 Mo 2.11

=====

[2]
DFT (GGA-PBE) results for a relaxed structure of Mo3AuN.

final energy	-8.896	eV per atom
SG	Pm-3m

Lattice parameters (Å, degrees): 4.1369 4.1369 4.1369 90.00 90.00 90.00
Last column: nearest neighbours and their distance in Å.
Atoms (fractional coordinates):
Au1 0.0000 0.0000 0.0000  12 Mo 2.93
N1 0.5000 0.5000 0.5000  6 Mo 2.07
Mo1 0.5000 0.0000 0.5000  2 N 2.07
Mo2 0.0000 0.5000 0.5000  2 N 2.07
Mo3 0.5000 0.5000 0.0000  2 N 2.07

=====

[3]
DFT (GGA-PBE) results for a relaxed structure of Nb2Mo4Au3N3.

final energy	-8.399	eV per atom
SG	C2/c

Lattice parameters (Å, degrees): 5.5070 5.5070 13.4954 101.60 101.60 60.22
Last column: nearest neighbours and their distance in Å.
Atoms (fractional coordinates):
Au1 0.4181 0.2039 0.7538  4 Mo 2.86-2.90, 2 Nb 2.91-2.93, 4 Au 2.97-2.99
N1 0.8082 0.3449 0.0000  4 Mo 2.12-2.13, 2 Nb 2.18
Au2 0.9664 0.0336 0.2500  4 Mo 2.85, 2 Nb 2.91, 4 Au 2.97-2.98
Nb1 0.4698 0.6465 0.9038  3 N 2.17-2.18
Mo1 0.1312 0.3082 0.9250  3 N 2.11-2.12
Mo2 0.8182 0.9634 0.9247  3 N 2.10-2.13
N2 0.5000 0.0000 0.0000  4 Mo 2.10-2.11, 2 Nb 2.17
Nb2 0.3535 0.5302 0.5962  3 N 2.17-2.18
N3 0.1918 0.6551 0.0000  4 Mo 2.12-2.13, 2 Nb 2.18
Mo3 0.3082 0.1312 0.4250  3 N 2.11-2.12
Au3 0.7961 0.5819 0.7462  4 Mo 2.86-2.90, 2 Nb 2.91-2.93, 4 Au 2.97-2.99
N4 0.6551 0.1918 0.5000  4 Mo 2.12-2.13, 2 Nb 2.18
Mo4 0.9634 0.8182 0.4247  3 N 2.10-2.13
Au4 0.2039 0.4181 0.2538  4 Mo 2.86-2.90, 2 Nb 2.91-2.93, 4 Au 2.97-2.99
Au5 0.0336 0.9664 0.7500  4 Mo 2.85, 2 Nb 2.91, 4 Au 2.97-2.98
Au6 0.5819 0.7961 0.2462  4 Mo 2.86-2.90, 2 Nb 2.91-2.93, 4 Au 2.97-2.99
Mo5 0.6918 0.8688 0.5750  3 N 2.11-2.12
N5 0.0000 0.5000 0.5000  4 Mo 2.10-2.11, 2 Nb 2.17
Nb3 0.5302 0.3535 0.0962  3 N 2.17-2.18
Nb4 0.6465 0.4698 0.4038  3 N 2.17-2.18
Mo6 0.1818 0.0366 0.0753  3 N 2.10-2.13
Mo7 0.0366 0.1818 0.5753  3 N 2.10-2.13
N6 0.3449 0.8082 0.5000  4 Mo 2.12-2.13, 2 Nb 2.18
Mo8 0.8688 0.6918 0.0750  3 N 2.11-2.12

=====

[4]
DFT (GGA-PBE) results for a relaxed structure of Nb4Mo2Au3N3.

final energy	-8.469	eV per atom
SG	C2/c

Lattice parameters (Å, degrees): 5.5365 5.5365 13.6992 101.74 101.74 59.87
Last column: nearest neighbours and their distance in Å.
Atoms (fractional coordinates):
Nb1 0.7933 0.9811 0.4132  3 N 2.15-2.17
Mo1 0.3673 0.5262 0.0748  3 N 2.13-2.14
N1 0.6742 0.1500 0.0003  2 Mo 2.13-2.14, 4 Nb 2.16-2.17
Nb2 0.6973 0.8511 0.0870  3 N 2.15-2.17
Nb3 0.8511 0.6973 0.5870  3 N 2.15-2.17
Nb4 0.0189 0.2067 0.0868  3 N 2.15-2.17
N2 0.8500 0.3258 0.4997  2 Mo 2.13-2.14, 4 Nb 2.16-2.17
N3 0.1500 0.6742 0.5003  2 Mo 2.13-2.14, 4 Nb 2.16-2.17
Mo2 0.4738 0.6327 0.4252  3 N 2.13-2.14
Mo3 0.6327 0.4738 0.9252  3 N 2.13-2.14
Au1 0.7248 0.5852 0.2532  2 Mo 2.88-2.89, 4 Nb 2.88-2.89, 2 Au 2.96
Nb5 0.9811 0.7933 0.9132  3 N 2.15-2.17
Au2 0.2752 0.4148 0.7468  2 Mo 2.88-2.89, 4 Nb 2.88-2.89, 2 Au 2.96
N4 0.3258 0.8500 0.9997  2 Mo 2.13-2.14, 4 Nb 2.16-2.17
Au3 0.5852 0.7248 0.7532  2 Mo 2.88-2.89, 4 Nb 2.88-2.89, 2 Au 2.96
Mo4 0.5262 0.3673 0.5748  3 N 2.13-2.14
Au4 0.8949 0.1051 0.7500  4 Nb 2.90-2.92, 2 Mo 2.91, 2 Au 2.96
Nb6 0.2067 0.0189 0.5868  3 N 2.15-2.17
Nb7 0.1489 0.3027 0.4130  3 N 2.15-2.17
N5 0.5000 0.0000 0.5000  2 Mo 2.14, 4 Nb 2.15
Au5 0.4148 0.2752 0.2468  2 Mo 2.88-2.89, 4 Nb 2.88-2.89, 2 Au 2.96
N6 0.0000 0.5000 0.0000  2 Mo 2.14, 4 Nb 2.15
Au6 0.1051 0.8949 0.2500  4 Nb 2.90-2.92, 2 Mo 2.91, 2 Au 2.96
Nb8 0.3027 0.1489 0.9130  3 N 2.15-2.17

=====

Number 1: total moment 0.348 μB per cell. Number 2: total moment 0.002 μB per cell. Number 3: total moment 0.008 μB per cell. Number 4: total moment 0.006 μB per cell.